# 1
The following is a PBE calculation of a relaxed NbBW crystal, from the Alexandria database.

The space group is No. 216. The crystal system is cubic. Its formation energy is 1.6136 eV per atom.

Unit cell a=5.910 b=5.910 c=5.910 alpha=90.00 beta=90.00 gamma=90.00
Fractional coordinates of all 12 atoms:
1 Nb 0.000 0.000 0.000
2 Nb 0.000 0.500 0.500
3 Nb 0.500 0.000 0.500
4 Nb 0.500 0.500 0.000
5 B 0.250 0.250 0.250
6 B 0.250 0.750 0.750
7 B 0.750 0.250 0.750
8 B 0.750 0.750 0.250
9 W 0.250 0.250 0.750
10 W 0.250 0.750 0.250
11 W 0.750 0.250 0.250
12 W 0.750 0.750 0.750


# 2
The following is a PBE calculation of a relaxed NbB3W crystal, from the Alexandria database.

The space group is No. 63. The crystal system is orthorhombic. Its formation energy is -0.4056 eV per atom.

Unit cell a=9.810 b=9.810 c=3.117 alpha=90.00 beta=90.00 gamma=160.70
Fractional coordinates of all 10 atoms:
1 Nb 0.201 0.799 0.750
2 Nb 0.799 0.201 0.250
3 B 0.336 0.664 0.750
4 B 0.386 0.614 0.250
5 B 0.478 0.522 0.250
6 B 0.522 0.478 0.750
7 B 0.614 0.386 0.750
8 B 0.664 0.336 0.250
9 W 0.070 0.930 0.250
10 W 0.930 0.070 0.750


# 3
The following is a PBE calculation of a relaxed NbB3W5 crystal, from the Alexandria database.

The space group is No. 12. The crystal system is monoclinic. Its formation energy is 0.2272 eV per atom.

Unit cell a=5.877 b=5.877 c=9.140 alpha=115.70 beta=115.70 gamma=68.80
Fractional coordinates of all 18 atoms:
1 Nb 0.055 0.055 0.298
2 Nb 0.945 0.945 0.702
3 B 0.000 0.000 0.000
4 B 0.000 0.000 0.500
5 B 0.226 0.226 0.199
6 B 0.325 0.325 0.790
7 B 0.675 0.675 0.210
8 B 0.774 0.774 0.801
9 W 0.057 0.580 0.390
10 W 0.236 0.236 0.972
11 W 0.302 0.698 0.000
12 W 0.420 0.943 0.610
13 W 0.492 0.492 0.693
14 W 0.508 0.508 0.307
15 W 0.580 0.057 0.390
16 W 0.698 0.302 0.000
17 W 0.764 0.764 0.028
18 W 0.943 0.420 0.610